Compound: CsW3N5
Source: OQMD
Functional: PBE
Structure: relaxed

Space group: P6/mmm, No. 191
Total energy in eV/atom: -8.560

Unit cell a=5.2320 b=5.2320 c=6.7056 alpha=90.00 beta=90.00 gamma=120.00
Closest atoms and distances in Å follow each position.
Sites, in units of the cell vectors:
Cs1 0.0000 0.0000 0.0000  14 N 3.35-3.61
N1 0.6667 0.3333 0.2938  3 W 2.05
N2 0.3333 0.6667 0.2938  3 W 2.05
N3 0.0000 0.0000 0.5000  6 W 2.62
N4 0.6667 0.3333 0.7062  3 W 2.05
N5 0.3333 0.6667 0.7062  3 W 2.05
W1 0.5000 0.0000 0.5000  4 N 2.05
W2 0.0000 0.5000 0.5000  4 N 2.05
W3 0.5000 0.5000 0.5000  4 N 2.05